1.
The following is a PBE calculation of a relaxed structure of TlHgTe2, from Alexandria via LeMat-Bulk.

abc: 11.0513 11.0513 11.0513
angles: 19.86 19.86 19.86
With the nearest neighbours (Å) after each atom.
Fractional coordinates of all 4 atoms:
Tl 0.0000 0.0000 0.0000  2 Te 3.38
Te 0.8959 0.8959 0.8959  3 Hg 3.00
Te 0.1041 0.1041 0.1041  3 Hg 3.00
Hg 0.5000 0.5000 0.5000  6 Te 3.00

Values from the calculation:
The formation energy (no corrections) is 17.1 kJ per mole of atoms. The density of states at the Fermi level comes out at 0.835 states/eV/atom.

---

2.
The following is a PBE calculation of a relaxed structure of Tl6Hg3Te2, from Alexandria via LeMat-Bulk.

abc: 5.8953 8.7007 8.7007
angles: 120.00 90.00 90.00
With the nearest neighbours (Å) after each atom.
Fractional coordinates of all 11 atoms:
Tl 0.5000 0.5583 0.0000  3 Hg 3.13-3.33
Tl 0.5000 0.4417 0.4417  3 Hg 3.13-3.33
Tl 0.0000 0.2719 0.0000  2 Hg 3.02, 2 Te 3.20
Tl 0.0000 0.0000 0.2719  2 Hg 3.02, 2 Te 3.20
Tl 0.5000 0.0000 0.5583  3 Hg 3.13-3.33
Tl 0.0000 0.7281 0.7281  2 Hg 3.02, 2 Te 3.20
Hg 0.5000 0.1991 0.0000  2 Hg 3.00, 5 Tl 3.02-3.33
Hg 0.5000 0.0000 0.1991  2 Hg 3.00, 5 Tl 3.02-3.33
Hg 0.5000 0.8009 0.8009  2 Hg 3.00, 5 Tl 3.02-3.33
Te 0.0000 0.3333 0.6667  3 Tl 3.20
Te 0.0000 0.6667 0.3333  3 Tl 3.20

Values from the calculation:
The formation energy (no corrections) is -8.0 kJ per mole of atoms. The density of states at the Fermi level comes out at 0.427 states/eV/atom.

---

formation energy (no corrections) of number 1 (TlHgTe2)? 17.1 kJ per mole of atoms